PaZn12Pd6 | Alexandria via LeMat-Bulk | PBE-GGA | relaxed; spin magnetization = 1.091 μB per formula unit; ΔH_f (0 K) = -0.239 eV per atom; total DFT energy (no corrections) = -3.183 eV per atom
1.0
5.643 3.258 2.892
-5.643 3.258 2.892
0.000 -6.516 2.892
Pa Zn Pd
1 12 6
Cartesian
0.000 0.000 0.000
-2.202 -3.813 4.338
-4.403 0.000 4.338
-1.423 -0.821 2.643
1.423 -0.821 2.643
0.000 1.643 2.643
2.202 -3.813 4.338
-2.202 3.813 4.338
0.000 -1.643 6.034
-1.423 0.821 6.034
1.423 0.821 6.034
4.403 0.000 4.338
2.202 3.813 4.338
0.000 -2.787 3.677
-2.413 1.393 3.677
-2.413 -1.393 5.000
2.413 1.393 3.677
2.413 -1.393 5.000
0.000 2.787 5.000